First-principles (PBE) data for a relaxed structure of Mg2CdAu6, as listed in Alexandria.

Fermi-level density of states = 0.281 states/eV/atom
distance to the lowest polymorph of the same formula = 0 meV/atom
energy of formation from the pure elements = -0.357 eV per atom

```
18
Lattice="-0.564 1.040 -4.061 6.836 -5.065 -2.247 -5.415 -6.863 -1.005" Properties=species:S:1:pos:R:3 pbc="T T T"
Au -1.430 -0.162 -4.248
Au -2.768 -4.769 -3.039
Au 1.509 -2.812 -0.930
Au 3.624 -6.119 -4.273
Au -0.542 -6.569 -3.809
Au 1.398 -4.319 -3.503
Au 1.263 -5.836 -6.075
Au 5.353 -3.739 -3.904
Au -0.407 -5.052 -1.237
Au -0.653 -8.076 -6.382
Au -4.497 -7.149 -3.408
Au 2.286 -10.726 -3.064
Cd -2.708 -3.431 -0.502
Cd 3.136 -2.013 -3.154
Mg -2.258 -7.206 -1.531
Mg -0.741 -2.581 -2.761
Mg 1.597 -8.307 -4.552
Mg 3.114 -3.682 -5.781
```